Here is Hg3SeI after structural relaxation from Alexandria. Energies are from PBE.

Cell: 7.7319 7.7319 7.7319 Å, 60.97 60.97 60.97°
With the nearest neighbours (Å) after each atom.
Element x y z (fractional)
Hg (0.0002, 0.4220, 0.5777)  2 Se 2.82
Hg (0.0777, 0.9220, 0.5002)  2 Se 2.82
Hg (0.4220, 0.5777, 0.0002)  2 Se 2.82
Hg (0.5002, 0.0777, 0.9220)  2 Se 2.82
Hg (0.5777, 0.0002, 0.4220)  2 Se 2.82
Hg (0.9220, 0.5002, 0.0777)  2 Se 2.82
Se (0.2499, 0.2499, 0.2499)  6 Hg 2.82
Se (0.7499, 0.7499, 0.7499)  6 Hg 2.82
I (0.9995, 0.9995, 0.9995)  3 Hg 3.31
I (0.4995, 0.4995, 0.4995)  3 Hg 3.31

* electronic total energy: -1.238 eV per atom
* calculated density: 8.03 g cm⁻³
* ΔE_f (raw): -50 meV/atom
* magnetization: 0.0000 μB per atom
* relative energy among the computed polymorphs: 0.00 eV/f.u.